Dy2YHoO6 (PBE-GGA, relaxed); energy relative to the elements, uncorrected = -3.536 eV per atom; space group = R3 (146); uncorrected energy = -8.536 eV/atom
1.0
2.905 1.677 5.059
-2.905 1.677 5.059
0.000 -3.354 5.059
Dy Y Ho O
2 1 1 6
Cartesian
0.000 0.000 0.000
0.000 0.000 7.582
0.000 0.000 4.291
0.000 0.000 11.893
-0.862 -1.472 5.941
-2.057 -0.211 8.463
-0.844 1.483 5.941
1.211 -1.676 8.463
1.706 -0.011 5.941
0.846 1.887 8.463